(1)
# Nd4CoPI2 PBE-GGA relaxed
data_Nd4CoPI2
_symmetry_space_group_name_H-M 'P 1 2/m 1'
_symmetry_Int_Tables_number 10
_cell_length_a 7.5265
_cell_length_b 4.0620
_cell_length_c 8.1801
_cell_angle_alpha 90.00
_cell_angle_beta 106.44
_cell_angle_gamma 90.00
loop_
_symmetry_equiv_pos_as_xyz
'x,y,z'
'-x,-y,-z'
'-x,y,-z'
'x,-y,z'
loop_
_atom_site_label
_atom_site_type_symbol
_atom_site_fract_x
_atom_site_fract_y
_atom_site_fract_z
Nd1 Nd 0.2076 0.0000 0.1806
Nd2 Nd 0.2627 0.5000 0.8100
Co1 Co 0.0000 0.5000 0.0000
P1 P 0.5000 0.0000 0.0000
I1 I 0.0000 0.0000 0.5000
I2 I 0.5000 0.5000 0.5000
# formation energy from raw total energies	-90	kJ/mol of atoms


(2)
# FeHS2Cl PBE-GGA relaxed
data_FeHS2Cl
_symmetry_space_group_name_H-M 'P 4/m m m'
_symmetry_Int_Tables_number 123
_symmetry_space_group_name_Hall '-P 4 2'
_cell_length_a 3.6234
_cell_length_b 3.6234
_cell_length_c 5.9493
_cell_angle_alpha 90.00
_cell_angle_beta 90.00
_cell_angle_gamma 90.00
loop_
_atom_site_label
_atom_site_type_symbol
_atom_site_fract_x
_atom_site_fract_y
_atom_site_fract_z
Fe1 Fe 0.0000 0.0000 0.0000
H1 H 0.5000 0.5000 0.5000
S1 S 0.0000 0.5000 0.5000
Cl1 Cl 0.5000 0.5000 0.0000
# energy above the most stable polymorph in this dataset	0.000	eV/atom


(3)
# KLa2Re PBE-GGA relaxed
data_KLa2Re
_symmetry_space_group_name_H-M 'I m m m'
_symmetry_Int_Tables_number 71
_symmetry_space_group_name_Hall '-I 2 2'
_cell_length_a 4.5481
_cell_length_b 6.2389
_cell_length_c 8.3500
_cell_angle_alpha 90.00
_cell_angle_beta 90.00
_cell_angle_gamma 90.00
loop_
_atom_site_label
_atom_site_type_symbol
_atom_site_fract_x
_atom_site_fract_y
_atom_site_fract_z
K1 K 0.0000 0.0000 0.0000
La1 La 0.0000 0.5000 0.2066
Re1 Re 0.0000 0.0000 0.5000
# energy above the most stable polymorph in this dataset	0.335	eV/atom
# E_form	0.59	eV/atom


(4)
# Pm3CdAu2 PBE-GGA relaxed
data_Pm3CdAu2
_symmetry_space_group_name_H-M 'P 4/m m m'
_symmetry_Int_Tables_number 123
_symmetry_space_group_name_Hall '-P 4 2'
_cell_length_a 3.7371
_cell_length_b 3.7371
_cell_length_c 11.1991
_cell_angle_alpha 90.00
_cell_angle_beta 90.00
_cell_angle_gamma 90.00
loop_
_atom_site_label
_atom_site_type_symbol
_atom_site_fract_x
_atom_site_fract_y
_atom_site_fract_z
Pm1 Pm 0.0000 0.0000 0.0000
Pm2 Pm 0.0000 0.0000 0.3232
Cd1 Cd 0.5000 0.5000 0.5000
Au1 Au 0.5000 0.5000 0.1667
# E_form	-0.63	eV/atom


(5)
# PrDy8Th4 PBE-GGA relaxed
data_PrDy8Th4
_symmetry_space_group_name_H-M 'R -3 m'
_symmetry_Int_Tables_number 166
_symmetry_space_group_name_Hall '-R 3 2"'
_cell_length_a 7.3880
_cell_length_b 7.3880
_cell_length_c 26.7513
_cell_angle_alpha 90.00
_cell_angle_beta 90.00
_cell_angle_gamma 120.00
loop_
_atom_site_label
_atom_site_type_symbol
_atom_site_fract_x
_atom_site_fract_y
_atom_site_fract_z
Pr1 Pr 0.0000 0.0000 0.0000
Dy1 Dy 0.0000 0.0000 0.2781
Dy2 Dy 0.0406 0.5203 0.2698
Th1 Th 0.0000 0.0000 0.5000
Th2 Th 0.0000 0.5000 0.5000
# E_form	0.21	eV/atom


(6)
# YMgNi3 PBE-GGA relaxed
data_YMgNi3
_symmetry_space_group_name_H-M 'P m -3 m'
_symmetry_Int_Tables_number 221
_symmetry_space_group_name_Hall '-P 4 2 3'
_cell_length_a 4.4411
_cell_length_b 4.4411
_cell_length_c 4.4411
_cell_angle_alpha 90.00
_cell_angle_beta 90.00
_cell_angle_gamma 90.00
loop_
_atom_site_label
_atom_site_type_symbol
_atom_site_fract_x
_atom_site_fract_y
_atom_site_fract_z
Y1 Y 0.0000 0.0000 0.0000
Mg1 Mg 0.5000 0.5000 0.5000
Ni1 Ni 0.0000 0.5000 0.5000
# energy above the most stable polymorph in this dataset	0.000	eV/atom
# E_form	0.38	eV/atom


(7)
# TaVW6 PBE-GGA relaxed
data_TaVW6
_symmetry_space_group_name_H-M 'C m m m'
_symmetry_Int_Tables_number 65
_symmetry_space_group_name_Hall '-C 2 2'
_cell_length_a 6.3497
_cell_length_b 8.9800
_cell_length_c 4.4971
_cell_angle_alpha 90.00
_cell_angle_beta 90.00
_cell_angle_gamma 90.00
loop_
_atom_site_label
_atom_site_type_symbol
_atom_site_fract_x
_atom_site_fract_y
_atom_site_fract_z
Ta1 Ta 0.0000 0.0000 0.0000
V1 V 0.0000 0.5000 0.0000
W1 W 0.0000 0.2506 0.5000
W2 W 0.2445 0.5000 0.5000
W3 W 0.2500 0.2500 0.0000
# energy above the most stable polymorph in this dataset	0.000	eV/atom
# E_form	-0.09	eV/atom


(8)
# Hg3BrO3 PBE-GGA relaxed
data_Hg3BrO3
_symmetry_space_group_name_H-M 'R -3'
_symmetry_Int_Tables_number 148
_symmetry_space_group_name_Hall '-R 3'
_cell_length_a 6.6232
_cell_length_b 6.6232
_cell_length_c 22.9542
_cell_angle_alpha 90.00
_cell_angle_beta 90.00
_cell_angle_gamma 120.00
loop_
_atom_site_label
_atom_site_type_symbol
_atom_site_fract_x
_atom_site_fract_y
_atom_site_fract_z
Hg1 Hg 0.0102 0.6561 0.3969
Br1 Br 0.0000 0.0000 0.1784
O1 O 0.0101 0.6536 0.2838
# formation energy from raw total energies	-7	kJ/mol of atoms


(9)
# CeLu2Hg PBE-GGA relaxed
data_CeLu2Hg
_symmetry_space_group_name_H-M 'R -3 m'
_symmetry_Int_Tables_number 166
_symmetry_space_group_name_Hall '-R 3 2"'
_cell_length_a 3.5010
_cell_length_b 3.5010
_cell_length_c 31.2411
_cell_angle_alpha 90.00
_cell_angle_beta 90.00
_cell_angle_gamma 120.00
loop_
_atom_site_label
_atom_site_type_symbol
_atom_site_fract_x
_atom_site_fract_y
_atom_site_fract_z
Ce1 Ce 0.0000 0.0000 0.0000
Lu1 Lu 0.0000 0.0000 0.2433
Hg1 Hg 0.0000 0.0000 0.5000
# energy above the most stable polymorph in this dataset	0.056	eV/atom
# E_form	-0.13	eV/atom


(10)
# MgH PBE-GGA relaxed
data_MgH
_symmetry_space_group_name_H-M 'P 42/m m c'
_symmetry_Int_Tables_number 131
_symmetry_space_group_name_Hall '-P 4c 2'
_cell_length_a 3.3465
_cell_length_b 3.3465
_cell_length_c 4.4867
_cell_angle_alpha 90.00
_cell_angle_beta 90.00
_cell_angle_gamma 90.00
loop_
_atom_site_label
_atom_site_type_symbol
_atom_site_fract_x
_atom_site_fract_y
_atom_site_fract_z
Mg1 Mg 0.0000 0.5000 0.0000
H1 H 0.0000 0.0000 0.2500
# energy above the most stable polymorph in this dataset	0.058	eV/atom


(11)
# PrSbPd4 PBE-GGA relaxed
data_PrSbPd4
_symmetry_space_group_name_H-M 'F -4 3 m'
_symmetry_Int_Tables_number 216
_symmetry_space_group_name_Hall 'F -4 2 3'
_cell_length_a 7.7332
_cell_length_b 7.7332
_cell_length_c 7.7332
_cell_angle_alpha 90.00
_cell_angle_beta 90.00
_cell_angle_gamma 90.00
loop_
_atom_site_label
_atom_site_type_symbol
_atom_site_fract_x
_atom_site_fract_y
_atom_site_fract_z
Pr1 Pr 0.0000 0.0000 0.0000
Sb1 Sb 0.2500 0.2500 0.7500
Pd1 Pd 0.1251 0.1251 0.3749
# energy above the most stable polymorph in this dataset	0.000	eV/atom
# formation energy from raw total energies	-52	kJ/mol of atoms